(1)
Material: NaZnN3
Method: DFT, PBE
State: relaxed

Results
- SG = No. 221
- uncorrected energy (eV per atom) = -2.793
- magnetization (μB per atom) = 1.201
- raw formation energy (meV/atom) = 2721

The structure in POSCAR format:
```
NaZnN3
1.0
-2.588 -0.427 3.284
-2.371 -2.671 -2.216
2.312 -3.217 1.404
N Zn Na
3 1 1
Direct
0.000 0.000 0.500
0.000 0.500 0.000
0.500 0.000 0.000
0.500 0.500 0.500
0.000 0.000 0.000
```

(2)
Material: NaZn3N
Method: DFT, PBE
State: relaxed

Results
- offset from the most stable computed form (meV/atom) = 1059.7
- SG = No. 221
- uncorrected energy (eV per atom) = -1.134
- magnetization (μB per atom) = 0.478
- raw formation energy (meV/atom) = 1559

The structure in POSCAR format:
```
NaZn3N
1.0
5.713 0.000 0.000
0.000 5.713 0.000
0.000 0.000 5.713
Zn Na N
3 1 1
Direct
0.500 0.000 0.000
0.000 0.000 0.500
0.000 0.500 0.000
0.000 0.000 0.000
0.500 0.500 0.500
```

(3)
Material: NaZn3N
Method: DFT, PBE
State: relaxed

Results
- offset from the most stable computed form (meV/atom) = 0.0
- SG = No. 221
- uncorrected energy (eV per atom) = -2.194
- magnetization (μB per atom) = 0.000
- raw formation energy (meV/atom) = 499

The structure in POSCAR format:
```
NaZn3N
1.0
-4.011 0.096 1.626
-1.629 -0.252 -4.004
0.006 -4.321 0.269
Zn Na N
3 1 1
Direct
0.000 0.000 0.500
0.500 0.000 0.000
0.000 0.500 0.000
0.500 0.500 0.500
0.000 0.000 0.000
```

(4)
Material: NaZnN3
Method: DFT, PBE
State: relaxed

Results
- SG = No. 221
- uncorrected energy (eV per atom) = -3.784
- magnetization (μB per atom) = 0.808
- raw formation energy (meV/atom) = 1730

The structure in POSCAR format:
```
NaZnN3
1.0
3.957 0.000 0.000
0.000 3.957 0.000
0.000 0.000 3.957
Na N Zn
1 3 1
Direct
0.500 0.500 0.500
0.000 0.500 0.000
0.000 0.000 0.500
0.500 0.000 0.000
0.000 0.000 0.000
```

> Number 3 is which compound?

NaZn3N

> The highest magnetization belongs to which entry?

number 1

> The highest raw formation energy belongs to which entry?

number 1

> What is the raw formation energy in the first record?

2721 meV/atom